1.
The following is a PBE calculation of a geometry-optimized As2PdN2 structure, from Alexandria via LeMat-Bulk.

## Properties
Final energy, eV/atom: -5.433
Uncorrected formation energy, eV/atom: 0.795
Crystal system: tetragonal
Density of states at the Fermi level, states/eV/atom: 0.207

a = 3.5776 Å, b = 3.5776 Å, c = 11.4112 Å
α = 90.00°, β = 90.00°, γ = 90.00°
Atoms (fractional coordinates):
As  0.0000  0.0000  0.1671
As  0.0000  0.0000  0.8329
As  0.5000  0.5000  0.3329
As  0.5000  0.5000  0.6671
Pd  0.0000  0.0000  0.5000
Pd  0.5000  0.5000  0.0000
N  0.0000  0.5000  0.2500
N  0.0000  0.5000  0.7500
N  0.5000  0.0000  0.2500
N  0.5000  0.0000  0.7500



2.
The following is a PBE calculation of a geometry-optimized AsPdN3 structure, from Alexandria via LeMat-Bulk.

## Properties
Final energy, eV/atom: -4.845
Uncorrected formation energy, eV/atom: 2.119
Crystal system: cubic
Density of states at the Fermi level, states/eV/atom: 1.171

a = 3.9217 Å, b = 3.9217 Å, c = 3.9217 Å
α = 90.00°, β = 90.00°, γ = 90.00°
Atoms (fractional coordinates):
As  0.0000  0.0000  0.0000
Pd  0.5000  0.5000  0.5000
N  0.0000  0.5000  0.5000
N  0.5000  0.0000  0.5000
N  0.5000  0.5000  0.0000



3.
The following is a PBE calculation of a geometry-optimized ReAsPdN2 structure, from Alexandria via LeMat-Bulk.

## Properties
Final energy, eV/atom: -5.870
Uncorrected formation energy, eV/atom: 1.919
Crystal system: tetragonal
Density of states at the Fermi level, states/eV/atom: 0.920

a = 3.8102 Å, b = 3.8102 Å, c = 5.6121 Å
α = 90.00°, β = 90.00°, γ = 90.00°
Atoms (fractional coordinates):
Re  0.0000  0.0000  0.0000
As  0.5000  0.5000  0.0000
Pd  0.0000  0.0000  0.5000
N  0.0000  0.5000  0.5000
N  0.5000  0.0000  0.5000